Density functional theory data (GGA-PBE) for a relaxed CsAgPb crystal.

```
data_CsAgPb
_chemical_formula_sum 'Cs2 Ag2 Pb2'
_cell_length_a 3.9652
_cell_length_b 3.9652
_cell_length_c 13.8914
_cell_angle_alpha 90.00
_cell_angle_beta 90.00
_cell_angle_gamma 90.00
_space_group_name_H-M_alt 'I 4 m m'
_space_group_IT_number 107
_space_group_name_Hall 'I 4 -2'
loop_
_atom_site_label
_atom_site_type_symbol
_atom_site_fract_x
_atom_site_fract_y
_atom_site_fract_z
Cs1 Cs 0.0000 0.0000 0.0000
Ag1 Ag 0.0000 0.0000 0.7099
Pb1 Pb 0.0000 0.0000 0.2839
```

Summary:
Offset from the most stable computed form: 17 meV/atom
Size of the total moment: 0.0 μB per formula unit
Energy relative to the elements: 0.024 eV per atom
VASP energy: -0.1799 Ry/atom

=====

Density functional theory data (GGA-PBE) for a relaxed Cs3Ag2Pb5 crystal.

```
data_Cs3Ag2Pb5
_chemical_formula_sum 'Cs12 Ag8 Pb20'
_cell_length_a 17.2297
_cell_length_b 12.6180
_cell_length_c 7.9116
_cell_angle_alpha 90.00
_cell_angle_beta 115.23
_cell_angle_gamma 90.00
_space_group_name_H-M_alt 'C 1 2/c 1'
_space_group_IT_number 15
_space_group_name_Hall '-C 2yc'
loop_
_atom_site_label
_atom_site_type_symbol
_atom_site_fract_x
_atom_site_fract_y
_atom_site_fract_z
Cs1 Cs 0.0000 0.0288 0.2500
Cs2 Cs 0.1260 0.2605 0.6364
Ag1 Ag 0.1648 0.1375 0.1379
Pb1 Pb 0.0000 0.4959 0.7500
Pb2 Pb 0.1275 0.3628 0.1334
Pb3 Pb 0.2465 0.4921 0.5120
```

Summary:
Size of the total moment: 0.0 μB per formula unit
Energy relative to the elements: -0.061 eV per atom
VASP energy: -0.2015 Ry/atom

=====

Density functional theory data (GGA-PBE) for a relaxed Cs2AgPb crystal.

```
data_Cs2AgPb
_chemical_formula_sum 'Cs4 Ag2 Pb2'
_cell_length_a 12.3664
_cell_length_b 7.2660
_cell_length_c 5.0632
_cell_angle_alpha 90.00
_cell_angle_beta 114.14
_cell_angle_gamma 90.00
_space_group_name_H-M_alt 'C 1 2 1'
_space_group_IT_number 5
_space_group_name_Hall 'C 2y'
loop_
_atom_site_label
_atom_site_type_symbol
_atom_site_fract_x
_atom_site_fract_y
_atom_site_fract_z
Cs1 Cs 0.1896 0.0000 0.1907
Ag1 Ag 0.0000 0.6754 0.5000
Pb1 Pb 0.0000 0.5002 0.0000
```

Summary:
Offset from the most stable computed form: 20 meV/atom
Size of the total moment: 0.7 μB per formula unit
Energy relative to the elements: -0.018 eV per atom
VASP energy: -0.1532 Ry/atom

=====

Density functional theory data (GGA-PBE) for a relaxed CsAgPb3 crystal.

```
data_CsAgPb3
_chemical_formula_sum 'Cs1 Ag1 Pb3'
_cell_length_a 5.7558
_cell_length_b 5.7558
_cell_length_c 5.7558
_cell_angle_alpha 90.00
_cell_angle_beta 90.00
_cell_angle_gamma 90.00
_space_group_name_H-M_alt 'P m -3 m'
_space_group_IT_number 221
_space_group_name_Hall '-P 4 2 3'
loop_
_atom_site_label
_atom_site_type_symbol
_atom_site_fract_x
_atom_site_fract_y
_atom_site_fract_z
Cs1 Cs 0.0000 0.0000 0.0000
Ag1 Ag 0.5000 0.5000 0.5000
Pb1 Pb 0.0000 0.5000 0.5000
```

Summary:
Offset from the most stable computed form: 290 meV/atom
Size of the total moment: 0.0 μB per formula unit
Energy relative to the elements: 0.202 eV per atom
VASP energy: -0.2031 Ry/atom

=====

Density functional theory data (GGA-PBE) for a relaxed Cs2AgPb2 crystal.

```
data_Cs2AgPb2
_chemical_formula_sum 'Cs4 Ag2 Pb4'
_cell_length_a 10.5238
_cell_length_b 6.0851
_cell_length_c 7.1360
_cell_angle_alpha 90.00
_cell_angle_beta 119.44
_cell_angle_gamma 90.00
_space_group_name_H-M_alt 'C 1 2/m 1'
_space_group_IT_number 12
_space_group_name_Hall '-C 2y'
loop_
_atom_site_label
_atom_site_type_symbol
_atom_site_fract_x
_atom_site_fract_y
_atom_site_fract_z
Cs1 Cs 0.1141 0.0000 0.3420
Ag1 Ag 0.0000 0.5000 0.5000
Pb1 Pb 0.1558 0.5000 0.9677
```

Summary:
Offset from the most stable computed form: 0 meV/atom
Size of the total moment: 0.0 μB per formula unit
Energy relative to the elements: -0.090 eV per atom
VASP energy: -0.1826 Ry/atom

=====

Density functional theory data (GGA-PBE) for a relaxed CsAg3Pb crystal.

```
data_CsAg3Pb
_chemical_formula_sum 'Cs1 Ag3 Pb1'
_cell_length_a 5.9532
_cell_length_b 5.9532
_cell_length_c 5.9532
_cell_angle_alpha 90.00
_cell_angle_beta 90.00
_cell_angle_gamma 90.00
_space_group_name_H-M_alt 'P m -3 m'
_space_group_IT_number 221
_space_group_name_Hall '-P 4 2 3'
loop_
_atom_site_label
_atom_site_type_symbol
_atom_site_fract_x
_atom_site_fract_y
_atom_site_fract_z
Cs1 Cs 0.0000 0.0000 0.0000
Ag1 Ag 0.0000 0.0000 0.5000
Pb1 Pb 0.5000 0.5000 0.5000
```

Summary:
Offset from the most stable computed form: 1036 meV/atom
Size of the total moment: 0.0 μB per formula unit
Energy relative to the elements: 1.202 eV per atom
VASP energy: -0.1044 Ry/atom